1.
Entry from Alexandria via LeMat-Bulk: a relaxed structure of CsPm7Te12 (PBE).

Cell lengths 10.1342, 10.1342, 10.1342 Å; angles 109.47, 109.47, 109.47 degrees
Last column: nearest neighbours and their distance in Å.
Fractional positions:
1 Cs 0.0000 0.0000 0.0000  12 Te 4.34
2 Pm 0.0000 0.0000 0.5000  6 Te 3.10
3 Pm 0.0000 0.5000 0.0000  6 Te 3.10
4 Pm 0.0000 0.5000 0.5000  4 Te 3.10
5 Pm 0.5000 0.0000 0.0000  6 Te 3.10
6 Pm 0.5000 0.0000 0.5000  4 Te 3.10
7 Pm 0.5000 0.5000 0.0000  4 Te 3.10
8 Pm 0.5000 0.5000 0.5000  6 Te 3.10
9 Te 0.1251 0.3174 0.8077  3 Pm 3.10
10 Te 0.1923 0.5097 0.3174  3 Pm 3.10
11 Te 0.1923 0.8749 0.6826  3 Pm 3.10
12 Te 0.3174 0.1923 0.5097  3 Pm 3.10
13 Te 0.3174 0.8077 0.1251  3 Pm 3.10
14 Te 0.4903 0.6826 0.8077  3 Pm 3.10
15 Te 0.5097 0.3174 0.1923  3 Pm 3.10
16 Te 0.6826 0.1923 0.8749  3 Pm 3.10
17 Te 0.6826 0.8077 0.4903  3 Pm 3.10
18 Te 0.8077 0.1251 0.3174  3 Pm 3.10
19 Te 0.8077 0.4903 0.6826  3 Pm 3.10
20 Te 0.8749 0.6826 0.1923  3 Pm 3.10

Output
The crystal system is cubic. The space-group type is Im-3, No. 204. Its volume is 801.20 Å³/cell. For the uncorrected formation energy, the calculation gives -1.12 eV per atom.

---

2.
Entry from Alexandria via LeMat-Bulk: a relaxed structure of Cs2Pm3Te6 (PBE).

Cell lengths 7.8069, 7.8069, 9.6624 Å; angles 97.75, 97.75, 120.01 degrees
Last column: nearest neighbours and their distance in Å.
Fractional positions:
1 Cs 0.1666 0.8334 0.0000  6 Te 3.86
2 Cs 0.8334 0.1666 0.0000  6 Te 3.86
3 Pm 0.0000 0.0000 0.5000  6 Te 3.16-3.18
4 Pm 0.3328 0.6672 0.5000  6 Te 3.16-3.17
5 Pm 0.6672 0.3328 0.5000  6 Te 3.16-3.17
6 Te 0.0666 0.3981 0.6942  3 Pm 3.16-3.17
7 Te 0.2704 0.2704 0.3063  3 Pm 3.17-3.18
8 Te 0.3981 0.0666 0.6942  3 Pm 3.16-3.17
9 Te 0.6019 0.9334 0.3058  3 Pm 3.16-3.17
10 Te 0.7296 0.7296 0.6937  3 Pm 3.17-3.18
11 Te 0.9334 0.6019 0.3058  3 Pm 3.16-3.17

Output
The crystal system is monoclinic. The space-group type is C2/m, No. 12. Its volume is 491.08 Å³/cell. For the uncorrected formation energy, the calculation gives -1.31 eV per atom.

---

3.
Entry from Alexandria via LeMat-Bulk: a relaxed structure of Cs3Pm3Te8 (PBE).

Cell lengths 12.2025, 12.2025, 12.2025 Å; angles 158.14, 111.36, 73.00 degrees
Last column: nearest neighbours and their distance in Å.
Fractional positions:
1 Cs 0.0000 0.0000 0.0000  8 Te 3.70
2 Cs 0.2767 0.2767 0.0000  8 Te 3.98-4.06
3 Cs 0.7233 0.7233 0.0000  8 Te 3.98-4.06
4 Pm 0.2544 0.5000 0.7544  6 Te 3.23-3.27
5 Pm 0.5000 0.0000 0.5000  4 Te 3.09
6 Pm 0.7456 0.5000 0.2456  6 Te 3.23-3.27
7 Te 0.0255 0.6283 0.3973  1 Te 2.83
8 Te 0.2270 0.8975 0.3295  3 Pm 3.09-3.23
9 Te 0.2310 0.6283 0.6027  1 Te 2.83
10 Te 0.4319 0.1025 0.3295  3 Pm 3.09-3.23
11 Te 0.5681 0.8975 0.6705  3 Pm 3.09-3.23
12 Te 0.7690 0.3717 0.3973  1 Te 2.83
13 Te 0.7730 0.1025 0.6705  3 Pm 3.09-3.23
14 Te 0.9745 0.3717 0.6027  1 Te 2.83

Output
The crystal system is orthorhombic. The space-group type is Immm, No. 71. Its volume is 624.49 Å³/cell. For the uncorrected formation energy, the calculation gives -0.94 eV per atom.

---

4.
Entry from Alexandria via LeMat-Bulk: a relaxed structure of CsPm4Te6 (PBE).

Cell lengths 9.6771, 9.6771, 4.6576 Å; angles 90.00, 90.00, 120.00 degrees
Last column: nearest neighbours and their distance in Å.
Fractional positions:
1 Cs 0.0000 0.0000 0.0000  6 Te 3.80, 6 Pm 4.13
2 Pm 0.3333 0.6667 0.0000  9 Te 3.33-3.48
3 Pm 0.4074 0.2037 0.5000  6 Te 3.21-3.23
4 Pm 0.7963 0.2037 0.5000  6 Te 3.21-3.23
5 Pm 0.7963 0.5926 0.5000  6 Te 3.21-3.23
6 Te 0.1788 0.3576 0.5000  4 Pm 3.23-3.48
7 Te 0.1788 0.8212 0.5000  4 Pm 3.23-3.48
8 Te 0.5320 0.0640 0.0000  5 Pm 3.21-3.33
9 Te 0.5320 0.4680 0.0000  5 Pm 3.21-3.33
10 Te 0.6424 0.8212 0.5000  4 Pm 3.23-3.48
11 Te 0.9360 0.4680 0.0000  5 Pm 3.21-3.33

Output
The crystal system is hexagonal. The space-group type is P-6m2, No. 187. Its volume is 377.73 Å³/cell. For the uncorrected formation energy, the calculation gives -1.22 eV per atom.

---

5.
Entry from Alexandria via LeMat-Bulk: a relaxed structure of Cs2Pm2Te5 (PBE).

Cell lengths 10.4287, 10.4287, 8.6994 Å; angles 90.00, 90.00, 49.26 degrees
Last column: nearest neighbours and their distance in Å.
Fractional positions:
1 Cs 0.2064 0.2064 0.0000  7 Te 3.83-3.97
2 Cs 0.2936 0.2936 0.5000  7 Te 3.83-3.97
3 Cs 0.7064 0.7064 0.5000  7 Te 3.83-3.97
4 Cs 0.7936 0.7936 0.0000  7 Te 3.83-3.97
5 Pm 0.1552 0.8448 0.6556  8 Te 3.18-3.30
6 Pm 0.3448 0.6552 0.1556  8 Te 3.18-3.30
7 Pm 0.6552 0.3448 0.8444  8 Te 3.18-3.30
8 Pm 0.8448 0.1552 0.3444  8 Te 3.18-3.30
9 Te 0.0000 0.0000 0.0000  4 Pm 3.29
10 Te 0.0386 0.7481 0.3553  3 Pm 3.18-3.30
11 Te 0.2481 0.5386 0.8553  3 Pm 3.18-3.30
12 Te 0.2519 0.9614 0.3553  3 Pm 3.18-3.30
13 Te 0.4614 0.7519 0.8553  3 Pm 3.18-3.30
14 Te 0.5000 0.5000 0.5000  4 Pm 3.29
15 Te 0.5386 0.2481 0.1447  3 Pm 3.18-3.30
16 Te 0.7481 0.0386 0.6447  3 Pm 3.18-3.30
17 Te 0.7519 0.4614 0.1447  3 Pm 3.18-3.30
18 Te 0.9614 0.2519 0.6447  3 Pm 3.18-3.30

Output
The crystal system is orthorhombic. The space-group type is Cmce, No. 64. Its volume is 716.81 Å³/cell. For the uncorrected formation energy, the calculation gives -1.14 eV per atom.

---

6.
Entry from Alexandria via LeMat-Bulk: a relaxed structure of CsPm4Te6 (PBE).

Cell lengths 7.8717, 7.8717, 23.9875 Å; angles 90.00, 90.00, 146.37 degrees
Last column: nearest neighbours and their distance in Å.
Fractional positions:
1 Cs 0.1626 0.8374 0.7500  6 Te 3.73-3.76
2 Cs 0.8374 0.1626 0.2500  6 Te 3.73-3.76
3 Pm 0.0946 0.9054 0.1288  5 Te 2.99-3.26
4 Pm 0.0946 0.9054 0.3712  5 Te 2.99-3.26
5 Pm 0.3662 0.6338 0.0390  6 Te 3.05-3.24
6 Pm 0.3662 0.6338 0.4610  6 Te 3.05-3.24
7 Pm 0.6338 0.3662 0.5390  6 Te 3.05-3.24
8 Pm 0.6338 0.3662 0.9610  6 Te 3.05-3.24
9 Pm 0.9054 0.0946 0.6288  5 Te 2.99-3.26
10 Pm 0.9054 0.0946 0.8712  5 Te 2.99-3.26
11 Te 0.0000 0.0000 0.0000  6 Pm 3.18-3.40
12 Te 0.0000 0.0000 0.5000  6 Pm 3.18-3.40
13 Te 0.1415 0.8585 0.2500  2 Pm 2.99
14 Te 0.2697 0.7303 0.5818  5 Pm 3.23-3.26
15 Te 0.2697 0.7303 0.9182  5 Pm 3.23-3.26
16 Te 0.4601 0.5399 0.1517  3 Pm 3.05-3.10
17 Te 0.4601 0.5399 0.3483  3 Pm 3.05-3.10
18 Te 0.5399 0.4601 0.6517  3 Pm 3.05-3.10
19 Te 0.5399 0.4601 0.8483  3 Pm 3.05-3.10
20 Te 0.7303 0.2697 0.0818  5 Pm 3.23-3.26
21 Te 0.7303 0.2697 0.4182  5 Pm 3.23-3.26
22 Te 0.8585 0.1415 0.7500  2 Pm 2.99

Output
The crystal system is orthorhombic. The space-group type is Cmcm, No. 63. Its volume is 823.14 Å³/cell. For the uncorrected formation energy, the calculation gives -1.38 eV per atom.

---

7.
Entry from Alexandria via LeMat-Bulk: a relaxed structure of CsPm5Te8 (PBE).

Cell lengths 11.8679, 11.8679, 11.0524 Å; angles 103.55, 103.55, 22.01 degrees
Last column: nearest neighbours and their distance in Å.
Fractional positions:
1 Cs 0.0000 0.0000 0.0000  10 Te 4.14-4.57, 2 Cs 4.53
2 Pm 0.1558 0.1558 0.4591  6 Te 3.09-3.29
3 Pm 0.2043 0.2043 0.8425  6 Te 3.10-3.28
4 Pm 0.5004 0.5004 0.4989  6 Te 3.14-3.18
5 Pm 0.7963 0.7963 0.1557  6 Te 3.10-3.28
6 Pm 0.8450 0.8450 0.5392  6 Te 3.09-3.29
7 Te 0.0772 0.0772 0.6566  4 Pm 3.14-3.17
8 Te 0.2697 0.2697 0.3497  5 Pm 3.17-3.29
9 Te 0.3342 0.3342 0.0000  3 Pm 3.10-3.11
10 Te 0.4191 0.4191 0.6923  3 Pm 3.09-3.18
11 Te 0.5818 0.5818 0.3058  3 Pm 3.09-3.18
12 Te 0.6664 0.6664 0.9982  3 Pm 3.10-3.11
13 Te 0.7310 0.7310 0.6486  5 Pm 3.17-3.29
14 Te 0.9235 0.9235 0.3414  4 Pm 3.14-3.18

Output
The crystal system is monoclinic. The space-group type is Cm, No. 8. Its volume is 566.42 Å³/cell. For the uncorrected formation energy, the calculation gives -1.42 eV per atom.

---

8.
Entry from Alexandria via LeMat-Bulk: a relaxed structure of Cs3Pm2Te4 (PBE).

Cell lengths 10.8097, 10.8097, 10.0802 Å; angles 116.28, 116.28, 27.63 degrees
Last column: nearest neighbours and their distance in Å.
Fractional positions:
1 Cs 0.0000 0.0000 0.0000  6 Te 3.90-4.17
2 Cs 0.1083 0.1083 0.5446  6 Te 3.98-4.26, 1 Cs 4.21
3 Cs 0.8917 0.8917 0.4554  6 Te 3.98-4.26, 1 Cs 4.21
4 Pm 0.3219 0.3219 0.0158  4 Te 2.94-3.16
5 Pm 0.6781 0.6781 0.9842  4 Te 2.94-3.16
6 Te 0.2224 0.2224 0.1742  3 Pm 3.09-3.16
7 Te 0.4700 0.4700 0.2558  1 Pm 2.94
8 Te 0.5300 0.5300 0.7442  1 Pm 2.94
9 Te 0.7776 0.7776 0.8258  3 Pm 3.09-3.16

Output
The crystal system is monoclinic. The space-group type is C2/m, No. 12. Its volume is 486.15 Å³/cell. For the uncorrected formation energy, the calculation gives -1.15 eV per atom.